Entry 1:
Material: LaH3F
Method: DFT, PBE
State: optimized geometry

The spin magnetization is 0.00 μB/f.u. As for the crystal system: cubic. The offset from the most stable computed form is 0.0 kJ/mol of atoms. The calculation puts the uncorrected energy at -3.682 eV per atom.

Structure (POSCAR):
```
LaH3F
1.0
4.3029 0.0000 0.0000
0.0000 4.3029 0.0000
0.0000 0.0000 4.3029
H F La
3 1 1
Direct
0.0000 0.0000 0.5000
0.5000 0.0000 0.0000
0.0000 0.5000 0.0000
0.5000 0.5000 0.5000
0.0000 0.0000 0.0000
```


Entry 2:
Material: In2AgH2
Method: DFT, PBE
State: optimized geometry

The spin magnetization is 0.00 μB/f.u. As for the crystal system: monoclinic. The offset from the most stable computed form is 0.0 kJ/mol of atoms. The calculation puts the uncorrected energy at -2.911 eV per atom.

Structure (POSCAR):
```
In2AgH2
1.0
2.8412 -0.8738 0.4574
0.6636 2.8975 0.4574
1.4418 0.8325 11.7650
H Ag In
2 1 2
Direct
0.5520 0.5520 0.4667
0.4480 0.4480 0.5333
0.0000 0.0000 0.0000
0.7139 0.7139 0.7894
0.2861 0.2861 0.2106
```


Please write out number 2 again, unchanged.
Material: In2AgH2
Method: DFT, PBE
State: optimized geometry

The spin magnetization is 0.00 μB/f.u. As for the crystal system: monoclinic. The offset from the most stable computed form is 0.0 kJ/mol of atoms. The calculation puts the uncorrected energy at -2.911 eV per atom.

Structure (POSCAR):
```
In2AgH2
1.0
2.8412 -0.8738 0.4574
0.6636 2.8975 0.4574
1.4418 0.8325 11.7650
H Ag In
2 1 2
Direct
0.5520 0.5520 0.4667
0.4480 0.4480 0.5333
0.0000 0.0000 0.0000
0.7139 0.7139 0.7894
0.2861 0.2861 0.2106
```